(1)
A relaxed structure of ReNiPt2. Source: Alexandria via LeMat-Bulk, functional GGA-PBE.

Unit cell a=3.8770 b=2.7528 c=6.0241 alpha=62.76 beta=90.00 gamma=90.00
With the nearest neighbours (Å) after each atom.
Fractional coordinates of all 4 atoms:
Re: 0.5000 0.2500 0.2500  2 Ni 2.68, 8 Pt 2.73, 2 Re 2.75
Pt: 0.0000 0.0009 0.9994  4 Pt 2.67-2.75, 4 Ni 2.73, 4 Re 2.73
Pt: 0.0000 0.4991 0.5006  4 Pt 2.67-2.75, 4 Ni 2.73, 4 Re 2.73
Ni: 0.5000 0.7500 0.7500  2 Re 2.68, 8 Pt 2.73, 2 Ni 2.75

Properties
Symmetry: Pmmm, No. 47
E (eV/atom): -7.672

=====

(2)
A relaxed structure of Re3NiPt. Source: Alexandria via LeMat-Bulk, functional GGA-PBE.

Unit cell a=4.7149 b=4.7149 c=4.7149 alpha=90.00 beta=90.00 gamma=90.00
With the nearest neighbours (Å) after each atom.
Fractional coordinates of all 5 atoms:
Re: 0.0000 0.5000 0.0000  2 Pt 2.36
Re: 0.0000 0.0000 0.5000  2 Pt 2.36
Re: 0.5000 0.0000 0.0000  2 Pt 2.36
Pt: 0.0000 0.0000 0.0000  6 Re 2.36
Ni: 0.5000 0.5000 0.5000  12 Re 3.33

Properties
Symmetry: Pm-3m, No. 221
E (eV/atom): -7.130

=====

(3)
A relaxed structure of ReNi12Pt2. Source: Alexandria via LeMat-Bulk, functional GGA-PBE.

Unit cell a=5.6002 b=5.6002 c=12.7914 alpha=90.00 beta=90.00 gamma=90.00
With the nearest neighbours (Å) after each atom.
Fractional coordinates of all 30 atoms:
Re: 0.5000 0.0000 0.0000  8 Ni 2.38-2.39
Re: 0.0000 0.5000 0.0000  8 Ni 2.38-2.39
Ni: 0.5000 0.5000 0.7901  5 Ni 2.16-2.40
Ni: 0.0000 0.0000 0.7901  5 Ni 2.16-2.40
Ni: 0.7498 0.7502 0.8960  2 Re 2.38-2.39, 3 Ni 2.40-2.66
Ni: 0.2498 0.7498 0.8960  2 Re 2.38-2.39, 3 Ni 2.40-2.66
Ni: 0.0000 0.0000 0.3790  5 Ni 2.16-2.24
Ni: 0.2502 0.7502 0.1040  2 Re 2.38-2.39, 3 Ni 2.40-2.66
Ni: 0.8541 0.3541 0.5704  6 Ni 2.24-2.44
Ni: 0.5000 0.5000 0.3790  5 Ni 2.16-2.24
Ni: 0.2502 0.2498 0.8960  2 Re 2.38-2.39, 3 Ni 2.40-2.66
Ni: 0.7502 0.7498 0.1040  2 Re 2.38-2.39, 3 Ni 2.40-2.66
Ni: 0.3541 0.1459 0.5704  6 Ni 2.24-2.44
Ni: 0.6459 0.1459 0.4296  6 Ni 2.24-2.44
Ni: 0.0000 0.0000 0.6210  5 Ni 2.16-2.24
Ni: 0.1459 0.3541 0.4296  6 Ni 2.24-2.44
Ni: 0.2498 0.2502 0.1040  2 Re 2.38-2.39, 3 Ni 2.40-2.66
Ni: 0.8541 0.6459 0.4296  6 Ni 2.24-2.44
Ni: 0.6459 0.8541 0.5704  6 Ni 2.24-2.44
Ni: 0.0000 0.0000 0.2099  5 Ni 2.16-2.40
Ni: 0.1459 0.6459 0.5704  6 Ni 2.24-2.44
Ni: 0.5000 0.5000 0.6210  5 Ni 2.16-2.24
Ni: 0.7502 0.2502 0.8960  2 Re 2.38-2.39, 3 Ni 2.40-2.66
Ni: 0.5000 0.5000 0.2099  5 Ni 2.16-2.40
Ni: 0.3541 0.8541 0.4296  6 Ni 2.24-2.44
Ni: 0.7498 0.2498 0.1040  2 Re 2.38-2.39, 3 Ni 2.40-2.66
Pt: 0.5000 0.0000 0.2454  10 Ni 2.62-2.84
Pt: 0.0000 0.5000 0.2454  10 Ni 2.62-2.84
Pt: 0.0000 0.5000 0.7546  10 Ni 2.62-2.84
Pt: 0.5000 0.0000 0.7546  10 Ni 2.62-2.84

Properties
Symmetry: P4/nbm, No. 125
E (eV/atom): -5.788

=====

(4)
A relaxed structure of ReNiPt2. Source: Alexandria via LeMat-Bulk, functional GGA-PBE.

Unit cell a=4.7546 b=4.7546 c=4.7546 alpha=132.63 beta=132.63 gamma=69.24
With the nearest neighbours (Å) after each atom.
Fractional coordinates of all 4 atoms:
Ni: 0.2500 0.7500 0.5000  8 Pt 2.70-2.73, 4 Re 2.73
Pt: 0.0000 0.0000 0.0000  4 Re 2.70, 4 Ni 2.73, 4 Pt 2.73
Pt: 0.7500 0.2500 0.5000  4 Ni 2.70, 4 Pt 2.73, 4 Re 2.73
Re: 0.5000 0.5000 0.0000  8 Pt 2.70-2.73, 4 Ni 2.73

Properties
Symmetry: I-4m2, No. 119
E (eV/atom): -7.614

=====

Among the records above, which one has the lowest E?
number 1

=====

E of number 1 (ReNiPt2)?
-7.672 eV/atom

=====

Please write out number 3 again, unchanged.
A relaxed structure of ReNi12Pt2. Source: Alexandria via LeMat-Bulk, functional GGA-PBE.

Unit cell a=5.6002 b=5.6002 c=12.7914 alpha=90.00 beta=90.00 gamma=90.00
With the nearest neighbours (Å) after each atom.
Fractional coordinates of all 30 atoms:
Re: 0.5000 0.0000 0.0000  8 Ni 2.38-2.39
Re: 0.0000 0.5000 0.0000  8 Ni 2.38-2.39
Ni: 0.5000 0.5000 0.7901  5 Ni 2.16-2.40
Ni: 0.0000 0.0000 0.7901  5 Ni 2.16-2.40
Ni: 0.7498 0.7502 0.8960  2 Re 2.38-2.39, 3 Ni 2.40-2.66
Ni: 0.2498 0.7498 0.8960  2 Re 2.38-2.39, 3 Ni 2.40-2.66
Ni: 0.0000 0.0000 0.3790  5 Ni 2.16-2.24
Ni: 0.2502 0.7502 0.1040  2 Re 2.38-2.39, 3 Ni 2.40-2.66
Ni: 0.8541 0.3541 0.5704  6 Ni 2.24-2.44
Ni: 0.5000 0.5000 0.3790  5 Ni 2.16-2.24
Ni: 0.2502 0.2498 0.8960  2 Re 2.38-2.39, 3 Ni 2.40-2.66
Ni: 0.7502 0.7498 0.1040  2 Re 2.38-2.39, 3 Ni 2.40-2.66
Ni: 0.3541 0.1459 0.5704  6 Ni 2.24-2.44
Ni: 0.6459 0.1459 0.4296  6 Ni 2.24-2.44
Ni: 0.0000 0.0000 0.6210  5 Ni 2.16-2.24
Ni: 0.1459 0.3541 0.4296  6 Ni 2.24-2.44
Ni: 0.2498 0.2502 0.1040  2 Re 2.38-2.39, 3 Ni 2.40-2.66
Ni: 0.8541 0.6459 0.4296  6 Ni 2.24-2.44
Ni: 0.6459 0.8541 0.5704  6 Ni 2.24-2.44
Ni: 0.0000 0.0000 0.2099  5 Ni 2.16-2.40
Ni: 0.1459 0.6459 0.5704  6 Ni 2.24-2.44
Ni: 0.5000 0.5000 0.6210  5 Ni 2.16-2.24
Ni: 0.7502 0.2502 0.8960  2 Re 2.38-2.39, 3 Ni 2.40-2.66
Ni: 0.5000 0.5000 0.2099  5 Ni 2.16-2.40
Ni: 0.3541 0.8541 0.4296  6 Ni 2.24-2.44
Ni: 0.7498 0.2498 0.1040  2 Re 2.38-2.39, 3 Ni 2.40-2.66
Pt: 0.5000 0.0000 0.2454  10 Ni 2.62-2.84
Pt: 0.0000 0.5000 0.2454  10 Ni 2.62-2.84
Pt: 0.0000 0.5000 0.7546  10 Ni 2.62-2.84
Pt: 0.5000 0.0000 0.7546  10 Ni 2.62-2.84

Properties
Symmetry: P4/nbm, No. 125
E (eV/atom): -5.788